A relaxed TcAsPd crystal, computed with PBE.

Summary:
M_tot, Bohr magnetons per cell: 0.00
Formation energy, eV per atom: -0.090
Mass density, g cm⁻³: 9.7

Lattice parameters (Å, degrees): 3.0892 4.4240 7.0237 90.00 90.26 90.00
Fractional positions:
1 As 0.2494 0.7500 0.7628
2 As 0.7506 0.2500 0.2372
3 Tc 0.2485 0.2500 0.9527
4 Tc 0.7515 0.7500 0.0473
5 Pd 0.7495 0.7500 0.4483
6 Pd 0.2505 0.2500 0.5517

---

A relaxed CrCd2Cl crystal, computed with PBE.

Summary:
M_tot, Bohr magnetons per cell: 4.17
Uncorrected formation energy, eV/atom: 0.024
Mass density, g cm⁻³: 5.8

Lattice parameters (Å, degrees): 5.9840 5.9840 5.9840 149.33 124.79 64.49
Last column: magnetic moment on the atom in μB.
Fractional positions:
1 Cl 0.4511 0.4511 0.0000  0.01
2 Cd 0.0288 0.0288 0.0000  -0.01
3 Cd 0.7539 0.2539 0.5000  -0.02
4 Cr 0.2663 0.7663 0.5000  3.72

---

A relaxed La3NdEr4 crystal, computed with PBE.

Summary:
M_tot, Bohr magnetons per cell: 0.00
Formation energy, eV per atom: 0.140
Mass density, g cm⁻³: 7.5

Lattice parameters (Å, degrees): 3.4710 9.0433 9.0433 81.57 78.94 78.94
Fractional positions:
1 Er 0.6348 0.1131 0.6172
2 Er 0.3652 0.3828 0.8869
3 Er 0.3652 0.8869 0.3828
4 Er 0.6348 0.6172 0.1131
5 La 0.0000 0.5000 0.5000
6 La 0.2429 0.7571 0.7571
7 La 0.7571 0.2429 0.2429
8 Nd 0.5000 0.0000 0.0000

---

no.,excess energy over the best structure of this formula in the dataset (eV/atom)
1,0.080
2,0.051
3,0.106